# K2Sr2La, optimized geometry, DFT PBE
data_K2Sr2La
_cell_length_a 11.8062
_cell_length_b 11.8062
_cell_length_c 11.8062
_cell_angle_alpha 155.83
_cell_angle_beta 155.83
_cell_angle_gamma 34.45
_symmetry_space_group_name_H-M 'P 1'
_symmetry_Int_Tables_number 1
loop_
_symmetry_equiv_pos_as_xyz
'x,y,z'
loop_
_atom_site_label
_atom_site_fract_x
_atom_site_fract_y
_atom_site_fract_z
_atom_site_occupancy
K1 0.2500 0.7500 0.5000 1
K2 0.7500 0.2500 0.5000 1
Sr1 0.0890 0.0890 0.0000 1
Sr2 0.9110 0.9110 0.0000 1
La1 0.5000 0.5000 0.0000 1
# - energy of formation (eV per atom) = 0.3812
# - magnetization (μB/atom) = 0.00
# - DOS at the Fermi energy (states/eV/cell) = 7.0


# KSr2La, optimized geometry, DFT PBE
data_KSr2La
_cell_length_a 8.0495
_cell_length_b 8.0495
_cell_length_c 8.0495
_cell_angle_alpha 149.62
_cell_angle_beta 129.47
_cell_angle_gamma 60.11
_symmetry_space_group_name_H-M 'P 1'
_symmetry_Int_Tables_number 1
loop_
_symmetry_equiv_pos_as_xyz
'x,y,z'
loop_
_atom_site_label
_atom_site_fract_x
_atom_site_fract_y
_atom_site_fract_z
_atom_site_occupancy
K1 0.0000 0.0000 0.0000 1
Sr1 0.4917 0.4917 0.0000 1
Sr2 0.7492 0.2492 0.5000 1
La1 0.2502 0.7502 0.5000 1
# - energy of formation (eV per atom) = 0.2696
# - magnetization (μB/atom) = 0.01
# - E above lowest polymorph (eV/atom) = 0.128
# - DOS at the Fermi energy (states/eV/cell) = 6.1


# KSr2La, optimized geometry, DFT PBE
data_KSr2La
_cell_length_a 8.1478
_cell_length_b 8.1478
_cell_length_c 8.1478
_cell_angle_alpha 103.52
_cell_angle_beta 103.52
_cell_angle_gamma 122.18
_symmetry_space_group_name_H-M 'P 1'
_symmetry_Int_Tables_number 1
loop_
_symmetry_equiv_pos_as_xyz
'x,y,z'
loop_
_atom_site_label
_atom_site_fract_x
_atom_site_fract_y
_atom_site_fract_z
_atom_site_occupancy
K1 0.0000 0.0000 0.0000 1
K2 0.7500 0.2500 0.5000 1
Sr1 0.1196 0.6250 0.9946 1
Sr2 0.3750 0.3696 0.4946 1
Sr3 0.6304 0.1250 0.0054 1
Sr4 0.8750 0.8804 0.5054 1
La1 0.2500 0.7500 0.5000 1
La2 0.5000 0.5000 0.0000 1
# - energy of formation (eV per atom) = 0.4976
# - magnetization (μB/atom) = 0.00
# - E above lowest polymorph (eV/atom) = 0.356
# - DOS at the Fermi energy (states/eV/cell) = 13.5